1.
Density functional theory data (PBE-GGA) for crystalline Li2TmTl at its relaxed geometry.

The volume comes out at 348 Å³ per cell. The relative energy among the computed polymorphs is 0.005 eV/atom. The energy relative to the elements is -193 meV per atom. The calculation puts the density of states at the Fermi level at 1.14 states/eV/f.u.

The structure belongs to space group F-43m (No. 216); the cell edges are 7.033, 7.033 and 7.033 Å and the angles 90.00°, 90.00° and 90.00°. The distinct sites, in fractional coordinates, are Li at (0.000, 0.000, 0.000), Li at (0.250, 0.250, 0.250), Tm at (0.250, 0.250, 0.750) and Tl at (0.000, 0.000, 0.500).

2.
Density functional theory data (PBE-GGA) for crystalline Tb4HoSc6 at its relaxed geometry.

The volume comes out at 636 Å³ per cell. The energy relative to the elements is 291 meV per atom. The calculation puts the density of states at the Fermi level at 14.73 states/eV/f.u.

The structure belongs to space group I-42m (No. 121); the cell edges are 6.358, 6.358 and 15.723 Å and the angles 90.00°, 90.00° and 90.00°. The distinct sites, in fractional coordinates, are Tb at (0.192, 0.192, 0.180), Ho at (0.000, 0.000, 0.000), Sc at (0.000, 0.500, 0.000) and Sc at (0.171, 0.171, 0.387).

3.
Density functional theory data (PBE-GGA) for crystalline Al2CdCu at its relaxed geometry.

The volume comes out at 67 Å³ per cell. The energy relative to the elements is 101 meV per atom. The calculation puts the density of states at the Fermi level at 2.05 states/eV/f.u.

The structure belongs to space group P4/mmm (No. 123); the cell edges are 4.048, 4.048 and 4.092 Å and the angles 90.00°, 90.00° and 90.00°. The distinct sites, in fractional coordinates, are Al at (0.000, 0.500, 0.000), Cd at (0.000, 0.000, 0.500) and Cu at (0.500, 0.500, 0.500).

4.
Density functional theory data (PBE-GGA) for crystalline Cs5Pb2Se4 at its relaxed geometry.

The volume comes out at 1000 Å³ per cell. The calculation puts the density of states at the Fermi level at 1.29 states/eV/f.u. For the energy relative to the elements, uncorrected, the calculation gives -84.47 kJ/mol of atoms.

The structure belongs to space group C2/m (No. 12); the cell edges are 19.042, 5.261 and 10.997 Å and the angles 90.00°, 114.84° and 90.00°. The distinct sites, in fractional coordinates, are Cs at (0.000, 0.000, 0.000), Cs at (0.130, 0.500, 0.425), Cs at (0.232, 0.000, 0.114), Pb at (0.064, 0.000, 0.684), Se at (0.073, 0.500, 0.832) and Se at (0.205, 0.000, 0.663).

5.
Density functional theory data (PBE-GGA) for crystalline NaIn5Rh at its relaxed geometry.

The volume comes out at 166 Å³ per cell. The energy relative to the elements is -197 meV per atom. The calculation puts the density of states at the Fermi level at 3.17 states/eV/f.u.

The structure belongs to space group P4/mmm (No. 123); the cell edges are 4.650, 4.650 and 7.657 Å and the angles 90.00°, 90.00° and 90.00°. The distinct sites, in fractional coordinates, are Na at (0.000, 0.000, 0.000), In at (0.000, 0.500, 0.300), In at (0.500, 0.500, 0.000) and Rh at (0.000, 0.000, 0.500).

6.
Density functional theory data (PBE-GGA) for crystalline Pm6ZnRh2 at its relaxed geometry.

The volume comes out at 983 Å³ per cell. The energy relative to the elements is -437 meV per atom. The calculation puts the density of states at the Fermi level at 7.79 states/eV/f.u.

The structure belongs to space group Immm (No. 71); the cell edges are 9.538, 9.811 and 10.509 Å and the angles 90.00°, 90.00° and 90.00°. The distinct sites, in fractional coordinates, are Pm at (0.000, 0.194, 0.237), Pm at (0.194, 0.500, 0.171), Pm at (0.217, 0.323, 0.500), Zn at (0.000, 0.000, 0.000), Zn at (0.000, 0.000, 0.500), Rh at (0.000, 0.330, 0.000) and Rh at (0.000, 0.500, 0.368).

7.
Density functional theory data (PBE-GGA) for crystalline Zn2CuAs at its relaxed geometry.

The volume comes out at 62 Å³ per cell. The energy relative to the elements is 111 meV per atom. The calculation puts the density of states at the Fermi level at 1.48 states/eV/f.u.

The structure belongs to space group P4/mmm (No. 123); the cell edges are 3.946, 3.946 and 3.973 Å and the angles 90.00°, 90.00° and 90.00°. The distinct sites, in fractional coordinates, are Zn at (0.000, 0.500, 0.000), Cu at (0.000, 0.000, 0.500) and As at (0.500, 0.500, 0.500).